1.
# KTlMo4

An optimized crystal structure of KTlMo4 (PBE, Alexandria).

Cell: 5.501 5.501 5.501 Å, 60.00 60.00 60.00°
Atoms (fractional coordinates):
Tl  0.750  0.750  0.750
Mo  0.373  0.373  0.881
Mo  0.373  0.881  0.373
Mo  0.373  0.373  0.373
Mo  0.881  0.373  0.373
K  0.000  0.000  0.000

Properties
Space group: F-43m, No. 216
Crystal system: cubic



2.
# KTl2Mo

An optimized crystal structure of KTl2Mo (PBE, Alexandria).

Cell: 3.095 3.095 10.191 Å, 90.00 90.00 94.64°
Atoms (fractional coordinates):
K  0.500  0.500  0.250
Tl  0.000  0.000  0.532
Mo  0.500  0.500  0.750
Tl  0.000  0.000  0.968

Properties
Space group: Cmmm, No. 65
Crystal system: orthorhombic
Polymorph energy (0 for the lowest one) (meV/atom): 0



3.
# KTl2Mo

An optimized crystal structure of KTl2Mo (PBE, Alexandria).

Cell: 5.552 5.552 3.135 Å, 89.44 89.44 89.86°
Atoms (fractional coordinates):
Mo  0.000  0.500  0.500
Tl  0.000  0.000  0.000
K  0.500  0.000  0.500
Tl  0.500  0.500  0.000

Properties
Space group: C2/m, No. 12
Crystal system: monoclinic
Polymorph energy (0 for the lowest one) (meV/atom): 277



no.,V (A^3/atom),raw total energy (eV per cell)
1,19.62,-40.56
2,24.33,-14.61
3,24.16,-13.51